A plane-wave DFT calculation with PBE-GGA was carried out for a relaxed structure of HfMgOs3.

```
HfMgOs3
1.0
-0.464 4.754 -0.615
-1.368 0.461 4.594
4.594 0.618 1.306
Hf Mg Os
1 1 3
Cartesian
0.000 0.000 0.000
1.381 2.916 2.643
-0.684 0.230 2.297
2.297 0.309 0.653
-0.232 2.377 -0.307
```

Values from the calculation:
* formation energy from the elements: 190.38 kJ per mole of atoms
* E_tot: -35.37 eV/cell
* volume: 111.7 Å³/cell
* relative energy among the computed polymorphs: 2.26 eV per formula unit

A plane-wave DFT calculation with PBE-GGA was carried out for a relaxed structure of La2As4Ir3Ru.

```
La2As4Ir3Ru
1.0
-0.590 -1.700 -3.959
3.313 -2.733 0.680
-6.338 -6.730 3.835
La As Ir Ru
2 4 3 1
Cartesian
-1.845 -2.496 -1.041
-3.131 -6.451 3.237
1.362 -2.216 -1.639
0.000 0.000 0.000
-4.301 -5.104 0.444
-0.675 -3.843 1.751
-3.169 -3.365 1.917
-5.871 -6.772 1.395
0.895 -2.175 0.801
-1.807 -5.582 0.278
```

Values from the calculation:
* formation energy from the elements: -79.36 kJ per mole of atoms
* E_tot: -72.54 eV/cell
* volume: 189.2 Å³/cell

A plane-wave DFT calculation with PBE-GGA was carried out for a relaxed structure of NiRhC3.

```
NiRhC3
1.0
-3.779 -0.234 1.081
-0.025 -3.829 -0.916
1.106 -0.886 3.674
Ni C Rh
1 3 1
Cartesian
-1.349 -2.475 1.920
-0.012 -1.915 -0.458
0.553 -0.443 1.837
-1.889 -0.117 0.541
0.000 0.000 0.000
```

Values from the calculation:
* formation energy from the elements: 238.29 kJ per mole of atoms
* E_tot: -28.46 eV/cell
* volume: 61.0 Å³/cell
* relative energy among the computed polymorphs: 1.09 eV per formula unit

A plane-wave DFT calculation with PBE-GGA was carried out for a relaxed structure of PuPtW.

```
PuPtW
1.0
-0.551 -3.488 1.697
1.553 2.268 0.643
-10.476 5.141 7.168
Pt Pu W
2 2 2
Cartesian
0.220 -1.541 1.427
-4.740 2.775 4.165
-6.819 1.915 6.247
-3.213 0.146 3.779
-8.430 4.584 6.687
-1.053 0.964 1.639
```

Values from the calculation:
* formation energy from the elements: -3.05 kJ per mole of atoms
* E_tot: -66.84 eV/cell
* volume: 109.0 Å³/cell